i:
A plane-wave DFT calculation with GGA-PBE was carried out for a relaxed structure of ZrCrRh.

Cell lengths 5.409, 5.409, 5.409 Å; angles 145.91, 145.91, 48.97 degrees
Last column: magnetic moment on the atom in μB.
Element x y z (fractional)
Rh1 0.339 0.339 0.000  0.23
Zr1 0.667 0.667 0.000  -0.25
Cr1 0.994 0.994 0.000  2.28

Computed properties:
* Fermi-level density of states: 4.115 states/eV per cell
* SG: No. 107
* volume: 49 Å³ per cell

=====

ii:
A plane-wave DFT calculation with GGA-PBE was carried out for a relaxed structure of ZrCrRh.

Cell lengths 4.393, 4.393, 4.393 Å; angles 60.00, 60.00, 60.00 degrees
Last column: magnetic moment on the atom in μB.
Element x y z (fractional)
Zr1 0.000 0.000 0.000  -0.06
Rh1 0.750 0.750 0.750  0.21
Cr1 0.500 0.500 0.500  3.26

Computed properties:
* Fermi-level density of states: 4.430 states/eV per cell
* SG: No. 216
* volume: 60 Å³ per cell

=====

iii:
A plane-wave DFT calculation with GGA-PBE was carried out for a relaxed structure of ZrCrRh.

Cell lengths 4.380, 4.380, 4.380 Å; angles 60.00, 60.00, 60.00 degrees
Last column: magnetic moment on the atom in μB.
Element x y z (fractional)
Cr1 0.000 0.000 0.000  3.28
Rh1 0.500 0.500 0.500  0.15
Zr1 0.750 0.750 0.750  0.00

Computed properties:
* Fermi-level density of states: 3.467 states/eV per cell
* SG: No. 216
* volume: 59 Å³ per cell

=====

iv:
A plane-wave DFT calculation with GGA-PBE was carried out for a relaxed structure of ZrCrRh.

Cell lengths 4.334, 4.334, 3.158 Å; angles 90.00, 90.00, 120.00 degrees
Last column: magnetic moment on the atom in μB.
Element x y z (fractional)
Rh1 0.333 0.667 0.168  0.10
Zr1 0.667 0.333 0.666  -0.05
Cr1 0.000 0.000 0.165  2.48

Computed properties:
* Fermi-level density of states: 3.035 states/eV per cell
* SG: No. 156
* volume: 51 Å³ per cell

=====

i is preferred energetically. Next in line: 0.029 eV/atom higher.

=====

i:
A plane-wave DFT calculation with GGA-PBE was carried out for a relaxed structure of Zr2CrRh.

Cell lengths 8.513, 8.513, 8.513 Å; angles 21.32, 21.32, 21.32 degrees
Last column: magnetic moment on the atom in μB.
Element x y z (fractional)
Zr1 0.503 0.503 0.503  -0.05
Zr2 0.997 0.997 0.997  -0.05
Cr1 0.250 0.250 0.250  0.62
Rh1 0.750 0.750 0.750  0.00

Computed properties:
* Fermi-level density of states: 3.312 states/eV per cell
* SG: No. 166
* volume: 71 Å³ per cell

=====

ii:
A plane-wave DFT calculation with GGA-PBE was carried out for a relaxed structure of Zr2CrRh.

Cell lengths 9.186, 9.186, 9.186 Å; angles 19.69, 19.69, 19.69 degrees
Last column: magnetic moment on the atom in μB.
Element x y z (fractional)
Zr1 0.247 0.247 0.247  -0.01
Zr2 0.009 0.009 0.009  0.15
Rh1 0.751 0.751 0.751  0.17
Cr1 0.493 0.493 0.493  3.30

Computed properties:
* Fermi-level density of states: 3.909 states/eV per cell
* SG: No. 160
* volume: 77 Å³ per cell

=====

iii:
A plane-wave DFT calculation with GGA-PBE was carried out for a relaxed structure of Zr2CrRh.

Cell lengths 4.622, 4.622, 4.622 Å; angles 60.00, 60.00, 60.00 degrees
Last column: magnetic moment on the atom in μB.
Element x y z (fractional)
Zr1 0.250 0.250 0.250  -0.15
Zr2 0.750 0.750 0.750  -0.15
Cr1 0.000 0.000 0.000  1.09
Rh1 0.500 0.500 0.500  0.01

Computed properties:
* Fermi-level density of states: 4.171 states/eV per cell
* SG: No. 225
* volume: 70 Å³ per cell

=====

iii is preferred energetically. Next in line: 0.297 eV/atom higher.